DFT (PBE) results for a relaxed structure of K3Nd2TiS6.

Cell: 6.9906 6.9906 7.7312 Å, 98.67 98.67 120.00°
Closest atoms and distances in Å follow each position.
Fractional positions:
K 0.1691 0.8309 0.5000  6 S 3.15-3.33
K 0.8309 0.1691 0.5000  6 S 3.15-3.33
K 0.5000 0.5000 0.5000  6 S 3.14-3.38
Nd 0.3326 0.6674 0.0000  6 S 2.84-2.85
Nd 0.6674 0.3326 0.0000  6 S 2.84-2.85
Ti 0.0000 0.0000 0.0000  6 S 2.57-2.60
S 0.9322 0.6261 0.7991  1 Ti 2.60, 2 Nd 2.84
S 0.7631 0.7631 0.1978  1 Ti 2.57, 2 Nd 2.85
S 0.0678 0.3739 0.2009  1 Ti 2.60, 2 Nd 2.84
S 0.6261 0.9322 0.7991  1 Ti 2.60, 2 Nd 2.84
S 0.2369 0.2369 0.8022  1 Ti 2.57, 2 Nd 2.85
S 0.3739 0.0678 0.2009  1 Ti 2.60, 2 Nd 2.84

Summary:
Raw total energy = -64.96 eV/cell


DFT (PBE) results for a relaxed structure of GePH3.

Cell: 3.5679 3.5679 3.5679 Å, 90.00 90.00 90.00°
Closest atoms and distances in Å follow each position.
Fractional positions:
P 0.0000 0.0000 0.0000  6 H 1.78
Ge 0.5000 0.5000 0.5000  12 H 2.52
H 0.0000 0.5000 0.0000  2 P 1.78
H 0.0000 0.0000 0.5000  2 P 1.78
H 0.5000 0.0000 0.0000  2 P 1.78

Summary:
Raw total energy = -16.66 eV/cell